Entry 1:
VASP calculation (PBEsol) on crystalline CuRe2Rh at its relaxed geometry.

As for the final energy: -9.61 eV per atom. The calculation puts the energy above the lowest structure with this stoichiometry at 0 meV per atom. As for the density of states at the Fermi level: 3.34 states/eV per cell. The spin magnetization is 0.00 μB/cell. The energy relative to the elements comes out at 176.9 meV per atom.

It has space group P4/mmm (No. 123), with a = 2.650 Å, b = 2.650 Å, c = 7.711 Å, α = 90.00°, β = 90.00° and γ = 90.00°. The asymmetric unit holds Cu at (0.000, 0.000, 0.000), Re at (0.500, 0.500, 0.246) and Rh at (0.000, 0.000, 0.500).

Entry 2:
VASP calculation (PBEsol) on crystalline CuReRh2 at its relaxed geometry.

As for the final energy: -8.57 eV per atom. As for the density of states at the Fermi level: 2.48 states/eV per cell. The spin magnetization is 0.00 μB/cell. The energy relative to the elements comes out at -80.3 meV per atom.

It has space group P4/mmm (No. 123), with a = 2.729 Å, b = 2.729 Å, c = 7.142 Å, α = 90.00°, β = 90.00° and γ = 90.00°. The asymmetric unit holds Cu at (0.000, 0.000, 0.000), Re at (0.000, 0.000, 0.500) and Rh at (0.500, 0.500, 0.248).